Record 1
A plane-wave DFT calculation with PBE was carried out for Ac4Pb3Au after structural relaxation.

```
Ac4Pb3Au
1.0
4.791 0.000 0.000
0.000 4.835 0.000
0.000 0.000 12.449
Ac Pb Au
4 3 1
Cartesian
0.000 0.000 0.000
0.000 2.417 3.206
2.396 0.000 5.963
2.396 2.417 9.521
0.000 0.000 8.960
0.000 2.417 6.664
2.396 2.417 0.573
2.396 0.000 2.671
```

The value obtained for the final energy is -35.45 eV/f.u. The space group is Pmm2. The magnetization comes out at 0.0 μB per formula unit. The calculation puts the formation energy at -0.58 eV per atom.


Record 2
A plane-wave DFT calculation with PBE was carried out for Hf2CrHPt after structural relaxation.

```
Hf2CrHPt
1.0
4.542 0.000 0.000
0.000 4.542 0.000
0.000 0.000 3.446
Hf Cr H Pt
2 1 1 1
Cartesian
0.000 2.271 0.000
2.271 0.000 0.000
0.000 0.000 1.723
0.000 0.000 0.000
2.271 2.271 1.723
```

The value obtained for the final energy is -41.28 eV/f.u. The space group is P4/mmm. The magnetization comes out at 0.0 μB per formula unit.